A plane-wave DFT calculation with GGA-PBE was carried out for crystalline PrBi3Pd at its relaxed geometry.

Cell and atoms, written as POSCAR:
```
PrBi3Pd
1.0
13.198 0.000 0.000
0.000 6.578 0.000
0.000 0.000 6.489
Pr Bi Pd
4 12 4
direct
0.195 0.009 0.250
0.195 0.491 0.750
0.805 0.509 0.250
0.805 0.991 0.750
0.001 0.250 0.000
0.001 0.250 0.500
0.264 0.513 0.250
0.264 0.987 0.750
0.449 0.608 0.750
0.449 0.892 0.250
0.551 0.108 0.750
0.551 0.392 0.250
0.736 0.013 0.250
0.736 0.487 0.750
0.999 0.750 0.000
0.999 0.750 0.500
0.388 0.250 0.000
0.388 0.250 0.500
0.612 0.750 0.000
0.612 0.750 0.500
```

Summary:
Magnetization = 0.0 μB/f.u.
N(E_F) = 8.5 states/eV per cell
Calculated volume = 140.8 Å³/f.u.
Formation energy from the elements = -257 kJ/mol of formula units

A plane-wave DFT calculation with GGA-PBE was carried out for crystalline PrBi2Pd at its relaxed geometry.

Cell and atoms, written as POSCAR:
```
PrBi2Pd
1.0
3.565 0.000 0.000
-1.783 3.088 0.000
0.000 0.000 31.785
Pr Bi Pd
3 6 3
direct
0.000 0.000 0.000
0.333 0.667 0.667
0.667 0.333 0.333
0.000 0.000 0.104
0.000 0.000 0.896
0.333 0.667 0.563
0.333 0.667 0.771
0.667 0.333 0.229
0.667 0.333 0.437
0.000 0.000 0.500
0.333 0.667 0.167
0.667 0.333 0.833
```

Summary:
Magnetization = 0.0 μB/f.u.
N(E_F) = 11.0 states/eV per cell
Calculated volume = 116.6 Å³/f.u.
Formation energy from the elements = -40 kJ/mol of formula units

A plane-wave DFT calculation with GGA-PBE was carried out for crystalline Pr5BiPd2 at its relaxed geometry.

Cell and atoms, written as POSCAR:
```
Pr5BiPd2
1.0
-4.125 4.125 6.961
4.125 -4.125 6.961
4.125 4.125 -6.961
Pr Bi Pd
10 2 4
direct
0.000 0.000 0.000
0.015 0.515 0.811
0.204 0.015 0.500
0.296 0.796 0.811
0.485 0.296 0.500
0.500 0.500 0.000
0.515 0.704 0.500
0.704 0.204 0.189
0.796 0.985 0.500
0.985 0.485 0.189
0.250 0.250 0.000
0.750 0.750 0.000
0.133 0.367 0.500
0.367 0.867 0.234
0.633 0.133 0.766
0.867 0.633 0.500
```

Summary:
Magnetization = 0.0 μB/f.u.
N(E_F) = 17.5 states/eV per cell
Calculated volume = 236.9 Å³/f.u.
Formation energy from the elements = -476 kJ/mol of formula units

A plane-wave DFT calculation with GGA-PBE was carried out for crystalline PrPuBiPd at its relaxed geometry.

Cell and atoms, written as POSCAR:
```
PrPuBiPd
1.0
7.577 0.000 0.000
0.000 7.577 0.000
0.000 0.000 7.577
Pr Pu Bi Pd
4 4 4 4
direct
0.000 0.000 0.000
0.000 0.500 0.500
0.500 0.000 0.500
0.500 0.500 0.000
0.000 0.000 0.500
0.000 0.500 0.000
0.500 0.000 0.000
0.500 0.500 0.500
0.250 0.250 0.250
0.250 0.750 0.750
0.750 0.250 0.750
0.750 0.750 0.250
0.250 0.250 0.750
0.250 0.750 0.250
0.750 0.250 0.250
0.750 0.750 0.750
```

Summary:
Magnetization = 6.2 μB/f.u.
N(E_F) = 51.2 states/eV per cell
Calculated volume = 108.8 Å³/f.u.
Formation energy from the elements = -181 kJ/mol of formula units

A plane-wave DFT calculation with GGA-PBE was carried out for crystalline PrBiPdRh at its relaxed geometry.

Cell and atoms, written as POSCAR:
```
PrBiPdRh
1.0
10.258 0.000 0.000
0.000 3.913 0.000
-1.425 0.000 4.408
Pr Bi Pd Rh
2 2 2 2
direct
0.000 0.000 0.000
0.500 0.500 0.000
0.235 0.000 0.674
0.735 0.500 0.674
0.266 0.500 0.258
0.766 0.000 0.258
0.006 0.500 0.487
0.506 0.000 0.487
```

Summary:
Excess energy over the best structure of this formula in the dataset = 58 meV/atom
Magnetization = 0.0 μB/f.u.
N(E_F) = 3.3 states/eV per cell
Calculated volume = 88.5 Å³/f.u.
Formation energy from the elements = -184 kJ/mol of formula units

A plane-wave DFT calculation with GGA-PBE was carried out for crystalline PrBiPdRh at its relaxed geometry.

Cell and atoms, written as POSCAR:
```
PrBiPdRh
1.0
7.024 0.000 0.000
0.000 7.024 0.000
0.000 0.000 7.024
Pr Bi Pd Rh
4 4 4 4
direct
0.000 0.000 0.000
0.000 0.500 0.500
0.500 0.000 0.500
0.500 0.500 0.000
0.000 0.000 0.500
0.000 0.500 0.000
0.500 0.000 0.000
0.500 0.500 0.500
0.250 0.250 0.250
0.250 0.750 0.750
0.750 0.250 0.750
0.750 0.750 0.250
0.250 0.250 0.750
0.250 0.750 0.250
0.750 0.250 0.250
0.750 0.750 0.750
```

Summary:
Excess energy over the best structure of this formula in the dataset = 0 meV/atom
Magnetization = 0.0 μB/f.u.
N(E_F) = 13.7 states/eV per cell
Calculated volume = 86.6 Å³/f.u.
Formation energy from the elements = -206 kJ/mol of formula units

Question: Which of these has the highest N(E_F)?
Answer: PrPuBiPd

Question: Look up the calculated volume of the first one.
Answer: 140.8 Å³/f.u.

Repeat the fifth record exactly.
A plane-wave DFT calculation with GGA-PBE was carried out for crystalline PrBiPdRh at its relaxed geometry.

Cell and atoms, written as POSCAR:
```
PrBiPdRh
1.0
10.258 0.000 0.000
0.000 3.913 0.000
-1.425 0.000 4.408
Pr Bi Pd Rh
2 2 2 2
direct
0.000 0.000 0.000
0.500 0.500 0.000
0.235 0.000 0.674
0.735 0.500 0.674
0.266 0.500 0.258
0.766 0.000 0.258
0.006 0.500 0.487
0.506 0.000 0.487
```

Summary:
Excess energy over the best structure of this formula in the dataset = 58 meV/atom
Magnetization = 0.0 μB/f.u.
N(E_F) = 3.3 states/eV per cell
Calculated volume = 88.5 Å³/f.u.
Formation energy from the elements = -184 kJ/mol of formula units